[1]
Computed, not measured: a relaxed Zr4Zn7Ag crystal at the PBE-GGA level of DFT.

The space group is P-1 (No. 2) and the conventional cell measures 5.574, 5.645 and 7.865 Å, with angles of 79.26, 76.81 and 63.21 degrees. Symmetry generates all atoms from Zr at (0.025, 0.139, 0.291), Zr at (0.335, 0.243, 0.879), Zn at (0.004, 0.656, 0.372), Zn at (0.176, 0.764, 0.040), Zn at (0.457, 0.313, 0.214), Zn at (0.500, 0.000, 0.500) and Ag at (0.500, 0.500, 0.500).

The total energy is -47.8 eV/cell. The energy of formation from the pure elements comes out at -153 meV per atom. For the size of the total moment, the calculation gives 0.00 μB per atom.

[2]
Computed, not measured: a relaxed Zr2ZnAg crystal at the PBE-GGA level of DFT.

The space group is R3m (No. 160, hexagonal axes) and the conventional cell measures 3.2282, 3.2282 and 27.4254 Å, with angles of 90.00, 90.00 and 120.00 degrees. Symmetry generates all atoms from Zr at (0.0000, 0.0000, 0.0000), Zr at (0.0000, 0.0000, 0.2440), Zn at (0.0000, 0.0000, 0.4947) and Ag at (0.0000, 0.0000, 0.7543).

The total energy is -63.4 eV/cell. The energy of formation from the pure elements comes out at 19 meV per atom. For the size of the total moment, the calculation gives 0.00 μB per atom.

[3]
Computed, not measured: a relaxed ZrZnAg2 crystal at the PBE-GGA level of DFT.

The space group is Pmmm (No. 47) and the conventional cell measures 2.959, 3.369 and 7.283 Å, with angles of 90.00, 90.00 and 90.00 degrees. Symmetry generates all atoms from Zr at (0.000, 0.000, 0.000), Zn at (0.000, 0.000, 0.500) and Ag at (0.500, 0.500, 0.279).

The total energy is -15.7 eV/cell. The energy of formation from the pure elements comes out at -49 meV per atom. For the size of the total moment, the calculation gives 0.00 μB per atom.

[4]
Computed, not measured: a relaxed ZrZnAg2 crystal at the PBE-GGA level of DFT.

The space group is P4/mmm (No. 123) and the conventional cell measures 4.210, 4.210 and 4.234 Å, with angles of 90.00, 90.00 and 90.00 degrees. Symmetry generates all atoms from Zr at (0.000, 0.000, 0.000), Zn at (0.500, 0.500, 0.000) and Ag at (0.000, 0.500, 0.500).

The total energy is -15.3 eV/cell. The energy of formation from the pure elements comes out at 65 meV per atom. For the size of the total moment, the calculation gives 0.00 μB per atom.

[5]
Computed, not measured: a relaxed ZrZn2Ag2 crystal at the PBE-GGA level of DFT.

The space group is P4/mbm (No. 127) and the conventional cell measures 7.782, 7.782 and 2.878 Å, with angles of 90.00, 90.00 and 90.00 degrees. Symmetry generates all atoms from Zr at (0.000, 0.000, 0.000), Zn at (0.122, 0.378, 0.000) and Ag at (0.175, 0.675, 0.500).

The total energy is -33.9 eV/cell. The energy of formation from the pure elements comes out at -28 meV per atom. For the size of the total moment, the calculation gives 0.00 μB per atom.

[6]
Computed, not measured: a relaxed ZrZn2Ag2 crystal at the PBE-GGA level of DFT.

The space group is P4/mbm (No. 127) and the conventional cell measures 7.838, 7.838 and 2.853 Å, with angles of 90.00, 90.00 and 90.00 degrees. Symmetry generates all atoms from Zr at (0.000, 0.000, 0.000), Zn at (0.171, 0.329, 0.500) and Ag at (0.128, 0.628, 0.000).

The total energy is -33.8 eV/cell. The energy of formation from the pure elements comes out at -21 meV per atom. For the size of the total moment, the calculation gives 0.00 μB per atom.

Please write out number 2 again, unchanged.
Computed, not measured: a relaxed Zr2ZnAg crystal at the PBE-GGA level of DFT.

The space group is R3m (No. 160, hexagonal axes) and the conventional cell measures 3.2282, 3.2282 and 27.4254 Å, with angles of 90.00, 90.00 and 120.00 degrees. Symmetry generates all atoms from Zr at (0.0000, 0.0000, 0.0000), Zr at (0.0000, 0.0000, 0.2440), Zn at (0.0000, 0.0000, 0.4947) and Ag at (0.0000, 0.0000, 0.7543).

The total energy is -63.4 eV/cell. The energy of formation from the pure elements comes out at 19 meV per atom. For the size of the total moment, the calculation gives 0.00 μB per atom.